Entry 1:
VASP calculation (PBE) on a relaxed structure of Nd12Ho2Sc5.

## Properties
Space-group type: C2/m
Energy of formation in eV per atom: 0.14
Crystal system: monoclinic

Cell lengths 10.8436, 8.7971, 8.3527 Å; angles 83.00, 90.00, 128.05 degrees
Atoms (fractional coordinates):
1 Nd 0.1333 0.2667 0.8736
2 Nd 0.0195 0.6360 0.8037
3 Nd 0.6165 0.6360 0.8037
4 Nd 0.1546 0.7794 0.3919
5 Nd 0.6248 0.7794 0.3919
6 Nd 0.4199 0.8397 0.7222
7 Nd 0.5801 0.1603 0.2778
8 Nd 0.8454 0.2206 0.6081
9 Nd 0.3752 0.2206 0.6081
10 Nd 0.9805 0.3640 0.1963
11 Nd 0.3835 0.3640 0.1963
12 Nd 0.8667 0.7333 0.1264
13 Ho 0.7225 0.0000 0.0000
14 Ho 0.2775 0.0000 0.0000
15 Sc 0.2347 0.4695 0.4846
16 Sc 0.3566 0.7131 0.1321
17 Sc 0.0000 0.0000 0.5000
18 Sc 0.6434 0.2869 0.8679
19 Sc 0.7653 0.5305 0.5154

---

Entry 2:
VASP calculation (PBE) on a relaxed structure of NdHo15Sc4.

## Properties
Space-group type: P4/mmm
Energy of formation in eV per atom: 0.04
Crystal system: tetragonal

Cell lengths 4.9249, 4.9249, 24.5742 Å; angles 90.00, 90.00, 90.00 degrees
Atoms (fractional coordinates):
1 Nd 0.0000 0.0000 0.0000
2 Ho 0.5000 0.5000 0.0000
3 Ho 0.5000 0.5000 0.2042
4 Ho 0.5000 0.5000 0.4011
5 Ho 0.5000 0.5000 0.5989
6 Ho 0.5000 0.5000 0.7958
7 Ho 0.5000 0.0000 0.1047
8 Ho 0.5000 0.0000 0.3022
9 Ho 0.5000 0.0000 0.5000
10 Ho 0.5000 0.0000 0.6978
11 Ho 0.5000 0.0000 0.8953
12 Ho 0.0000 0.5000 0.1047
13 Ho 0.0000 0.5000 0.3022
14 Ho 0.0000 0.5000 0.5000
15 Ho 0.0000 0.5000 0.6978
16 Ho 0.0000 0.5000 0.8953
17 Sc 0.0000 0.0000 0.2032
18 Sc 0.0000 0.0000 0.4012
19 Sc 0.0000 0.0000 0.5988
20 Sc 0.0000 0.0000 0.7968

---

Entry 3:
VASP calculation (PBE) on a relaxed structure of Nd3HoSc.

## Properties
Space-group type: Pbcm
Energy of formation in eV per atom: 0.16
Crystal system: orthorhombic

Cell lengths 3.5338, 10.7170, 17.4853 Å; angles 90.00, 90.00, 90.00 degrees
Atoms (fractional coordinates):
1 Nd 0.7508 0.5000 0.7500
2 Nd 0.2492 0.0000 0.2500
3 Nd 0.2492 0.5000 0.2500
4 Nd 0.7508 0.0000 0.7500
5 Nd 0.2511 0.5608 0.9230
6 Nd 0.2511 0.4392 0.5770
7 Nd 0.7489 0.0608 0.0770
8 Nd 0.7489 0.9392 0.4230
9 Nd 0.2511 0.0608 0.5770
10 Nd 0.2511 0.9392 0.9230
11 Nd 0.7489 0.5608 0.4230
12 Nd 0.7489 0.4392 0.0770
13 Ho 0.7526 0.2500 0.8958
14 Ho 0.7526 0.7500 0.6042
15 Ho 0.2474 0.7500 0.1042
16 Ho 0.2474 0.2500 0.3958
17 Sc 0.7483 0.2500 0.2282
18 Sc 0.7483 0.7500 0.2718
19 Sc 0.2517 0.7500 0.7718
20 Sc 0.2517 0.2500 0.7282

---

Entry 4:
VASP calculation (PBE) on a relaxed structure of Nd4Ho2Sc.

## Properties
Space-group type: C2/c
Energy of formation in eV per atom: 0.03
Crystal system: monoclinic

Cell lengths 12.8832, 12.8832, 7.1721 Å; angles 97.98, 97.98, 152.23 degrees
Atoms (fractional coordinates):
1 Nd 0.8046 0.2327 0.9999
2 Nd 0.2327 0.8046 0.4999
3 Nd 0.2311 0.8064 0.0000
4 Nd 0.8064 0.2311 0.5000
5 Nd 0.9463 0.0909 0.5003
6 Nd 0.5205 0.5168 0.0004
7 Nd 0.5168 0.5205 0.5004
8 Nd 0.0909 0.9463 0.0003
9 Ho 0.6613 0.3760 0.5002
10 Ho 0.9455 0.0919 0.0004
11 Ho 0.0919 0.9455 0.5004
12 Ho 0.3760 0.6613 0.0002
13 Sc 0.3761 0.6612 0.5002
14 Sc 0.6612 0.3761 0.0002

---

Entry 5:
VASP calculation (PBE) on a relaxed structure of Nd4Ho8Sc3.

## Properties
Space-group type: C2/m
Energy of formation in eV per atom: 0.36
Crystal system: monoclinic

Cell lengths 6.6681, 9.1250, 9.1250 Å; angles 86.76, 111.34, 111.34 degrees
Atoms (fractional coordinates):
1 Nd 0.5000 0.0000 0.0000
2 Nd 0.0000 0.5000 0.0000
3 Nd 0.0000 0.0000 0.0000
4 Nd 0.0000 0.0000 0.5000
5 Ho 0.5216 0.2724 0.2724
6 Ho 0.0000 0.6419 0.3581
7 Ho 0.0126 0.2794 0.2794
8 Ho 0.5000 0.7390 0.2610
9 Ho 0.5000 0.2610 0.7390
10 Ho 0.9874 0.7206 0.7206
11 Ho 0.0000 0.3581 0.6419
12 Ho 0.4784 0.7276 0.7276
13 Sc 0.5000 0.5000 0.0000
14 Sc 0.5000 0.0000 0.5000
15 Sc 0.5000 0.5000 0.5000

---

Entry 6:
VASP calculation (PBE) on a relaxed structure of Nd8HoSc2.

## Properties
Space-group type: Immm
Energy of formation in eV per atom: 0.12
Crystal system: orthorhombic

Cell lengths 5.5348, 8.4517, 9.3371 Å; angles 116.91, 107.24, 90.00 degrees
Atoms (fractional coordinates):
1 Nd 0.6435 0.8460 0.2870
2 Nd 0.3565 0.5590 0.7130
3 Nd 0.1601 0.1601 0.3203
4 Nd 0.0000 0.3010 0.0000
5 Nd 0.8399 0.8399 0.6797
6 Nd 0.6435 0.4410 0.2870
7 Nd 0.3565 0.1540 0.7130
8 Nd 0.0000 0.6990 0.0000
9 Ho 0.5000 0.0000 0.0000
10 Sc 0.2013 0.7013 0.4026
11 Sc 0.7987 0.2987 0.5974

---

Entry 7:
VASP calculation (PBE) on a relaxed structure of Nd4Ho3Sc.

## Properties
Space-group type: C2/m
Energy of formation in eV per atom: 0.03
Crystal system: monoclinic

Cell lengths 3.5896, 6.1974, 12.7585 Å; angles 114.02, 98.09, 90.00 degrees
Atoms (fractional coordinates):
1 Nd 0.6244 0.8752 0.2488
2 Nd 0.3756 0.1248 0.7512
3 Nd 0.8785 0.6330 0.7569
4 Nd 0.1215 0.3670 0.2431
5 Ho 0.0000 0.5000 0.0000
6 Ho 0.2506 0.2515 0.5011
7 Ho 0.7494 0.7485 0.4989
8 Sc 0.5000 0.0000 0.0000

---

Entry 8:
VASP calculation (PBE) on a relaxed structure of Nd6HoSc2.

## Properties
Space-group type: P4_2/mnm
Energy of formation in eV per atom: 0.57
Crystal system: tetragonal

Cell lengths 8.0666, 8.0666, 10.3958 Å; angles 90.00, 90.00, 90.00 degrees
Atoms (fractional coordinates):
1 Nd 0.7426 0.7426 0.1695
2 Nd 0.7426 0.7426 0.8305
3 Nd 0.7316 0.7316 0.5000
4 Nd 0.7684 0.2316 0.0000
5 Nd 0.7574 0.2426 0.3305
6 Nd 0.7574 0.2426 0.6695
7 Nd 0.2426 0.7574 0.3305
8 Nd 0.2426 0.7574 0.6695
9 Nd 0.2316 0.7684 0.0000
10 Nd 0.2684 0.2684 0.5000
11 Nd 0.2574 0.2574 0.1695
12 Nd 0.2574 0.2574 0.8305
13 Ho 0.5000 0.5000 0.0000
14 Ho 0.0000 0.0000 0.5000
15 Sc 0.5000 0.5000 0.3326
16 Sc 0.5000 0.5000 0.6674
17 Sc 0.0000 0.0000 0.1674
18 Sc 0.0000 0.0000 0.8326

---

Entry 9:
VASP calculation (PBE) on a relaxed structure of Nd5Ho5Sc.

## Properties
Space-group type: C2/m
Energy of formation in eV per atom: 0.26
Crystal system: monoclinic

Cell lengths 5.9354, 9.8919, 7.0076 Å; angles 110.62, 90.00, 107.46 degrees
Each line ends with the local moment (μB).
Atoms (fractional coordinates):
1 Nd 0.8260 0.6520 0.0687  0.01
2 Nd 0.8261 0.6522 0.5825  0.01
3 Nd 0.5000 0.0000 0.0000  0.17
4 Nd 0.1739 0.3478 0.4175  0.01
5 Nd 0.1740 0.3480 0.9313  0.01
6 Ho 0.6697 0.3393 0.1707  0.03
7 Ho 0.6224 0.2449 0.6238  0.00
8 Ho 0.0000 0.0000 0.5000  0.03
9 Ho 0.3776 0.7551 0.3762  0.00
10 Ho 0.3303 0.6607 0.8293  0.03
11 Sc 0.0000 0.0000 0.0000  0.28

---

Entry 10:
VASP calculation (PBE) on a relaxed structure of Nd3Ho5Sc3.

## Properties
Space-group type: P-62m
Energy of formation in eV per atom: 0.35
Crystal system: hexagonal

Cell lengths 3.3909, 10.8842, 10.8842 Å; angles 120.00, 90.00, 90.00 degrees
Atoms (fractional coordinates):
1 Nd 0.5000 0.6562 0.6562
2 Nd 0.5000 0.0000 0.3438
3 Nd 0.5000 0.3438 0.0000
4 Ho 0.5000 0.3333 0.6667
5 Ho 0.5000 0.6667 0.3333
6 Ho 0.5000 0.1661 0.1661
7 Ho 0.5000 0.0000 0.8339
8 Ho 0.5000 0.8339 0.0000
9 Sc 0.0000 0.4087 0.4087
10 Sc 0.0000 0.5913 0.0000
11 Sc 0.0000 0.0000 0.5913

---

Entry 11:
VASP calculation (PBE) on a relaxed structure of Nd4HoSc.

## Properties
Space-group type: C2/m
Energy of formation in eV per atom: 0.04
Crystal system: monoclinic

Cell lengths 6.1924, 6.1919, 6.2084 Å; angles 99.46, 80.55, 60.21 degrees
Atoms (fractional coordinates):
1 Nd 0.3338 0.3339 0.9998
2 Nd 0.6662 0.6661 0.0002
3 Nd 0.8373 0.8372 0.5003
4 Nd 0.1627 0.1628 0.4997
5 Ho 0.5000 0.5000 0.5000
6 Sc 0.0000 0.0000 0.0000

---

Entry 12:
VASP calculation (PBE) on a relaxed structure of Nd3Ho3Sc5.

## Properties
Space-group type: P-62m
Energy of formation in eV per atom: 0.82
Crystal system: hexagonal

Cell lengths 5.3974, 9.1123, 9.1123 Å; angles 120.00, 90.00, 90.00 degrees
Each line ends with the local moment (μB).
Atoms (fractional coordinates):
1 Nd 0.5000 0.6229 0.6229  0.04
2 Nd 0.5000 0.0000 0.3771  0.04
3 Nd 0.5000 0.3771 0.0000  0.04
4 Ho 0.0000 0.3983 0.3983  0.16
5 Ho 0.0000 0.6017 0.0000  0.16
6 Ho 0.0000 0.0000 0.6017  0.16
7 Sc 0.5000 0.3333 0.6667  0.02
8 Sc 0.5000 0.6667 0.3333  0.02
9 Sc 0.5000 0.2486 0.2486  0.12
10 Sc 0.5000 0.0000 0.7514  0.12
11 Sc 0.5000 0.7514 0.0000  0.12

---

Number 1: total moment 0.0 Bohr magnetons per cell. Number 2: total moment 0.0 Bohr magnetons per cell. Number 3: total moment 0.0 Bohr magnetons per cell. Number 4: total moment 0.0 Bohr magnetons per cell. Number 5: total moment 0.1 Bohr magnetons per cell. Number 6: total moment 0.0 Bohr magnetons per cell. Number 7: total moment 0.0 Bohr magnetons per cell. Number 8: total moment 0.0 Bohr magnetons per cell. Number 9: total moment 0.8 Bohr magnetons per cell. Number 10: total moment 0.0 Bohr magnetons per cell. Number 11: total moment 0.0 Bohr magnetons per cell. Number 12: total moment 1.5 Bohr magnetons per cell.